(1)
Below is a relaxed structure of WS, with properties calculated at the PBE level.

a = 6.132 Å, b = 6.132 Å, c = 4.147 Å
α = 90.00°, β = 90.00°, γ = 90.00°
Space group P4_2/mnm (No. 136)
Unique sites:
W: 0.164 0.164 0.000 x4
S: 0.210 0.790 0.000 x4

Values from the calculation:
Raw formation energy: 0.47 eV/atom
Calculated density: 9.2 g/cm³
VASP energy: -64.6 eV for the cell shown

(2)
Below is a relaxed structure of WS2, with properties calculated at the PBE level.

a = 3.1900 Å, b = 3.1900 Å, c = 21.3630 Å
α = 90.00°, β = 90.00°, γ = 120.00°
Space group R3m (No. 160, hexagonal axes)
Unique sites:
W: 0.0000 0.0000 0.0000 x3
S: 0.0000 0.0000 0.5931 x3
S: 0.0000 0.0000 0.7403 x3

Values from the calculation:
Raw formation energy: -0.82 eV/atom
Calculated density: 6.6 g/cm³
VASP energy: -71.0 eV for the cell shown

(3)
Below is a relaxed structure of YWS2, with properties calculated at the PBE level.

a = 3.3117 Å, b = 3.3117 Å, c = 25.8683 Å
α = 90.00°, β = 90.00°, γ = 120.00°
Space group R-3m (No. 166, hexagonal axes)
Unique sites:
Y: 0.0000 0.0000 0.0000 x3
W: 0.0000 0.0000 0.5000 x3
S: 0.0000 0.0000 0.1062 x6

Values from the calculation:
Raw formation energy: -0.41 eV/atom
Calculated density: 6.8 g/cm³
VASP energy: -87.9 eV for the cell shown

(4)
Below is a relaxed structure of YWS2, with properties calculated at the PBE level.

a = 6.445 Å, b = 6.445 Å, c = 6.445 Å
α = 90.00°, β = 90.00°, γ = 90.00°
Space group Fm-3m (No. 225)
Unique sites:
Y: 0.000 0.000 0.000 x4
W: 0.000 0.000 0.500 x4
S: 0.250 0.250 0.250 x8

Values from the calculation:
Raw formation energy: -0.50 eV/atom
Calculated density: 8.4 g/cm³
VASP energy: -118.7 eV for the cell shown

(5)
Below is a relaxed structure of YWS2, with properties calculated at the PBE level.

a = 5.260 Å, b = 5.260 Å, c = 13.123 Å
α = 90.00°, β = 90.00°, γ = 90.00°
Space group I-42d (No. 122)
Unique sites:
Y: 0.000 0.000 0.000 x4
W: 0.000 0.000 0.500 x4
S: 0.186 0.250 0.625 x8

Values from the calculation:
Raw formation energy: -0.56 eV/atom
Calculated density: 6.2 g/cm³
VASP energy: -119.7 eV for the cell shown

(6)
Below is a relaxed structure of YZn2WS, with properties calculated at the PBE level.

a = 5.338 Å, b = 5.338 Å, c = 4.916 Å
α = 90.00°, β = 90.00°, γ = 90.00°
Space group P4/mmm (No. 123)
Unique sites:
Y: 0.000 0.000 0.000 x1
Zn: 0.000 0.500 0.000 x2
W: 0.500 0.500 0.500 x1
S: 0.000 0.000 0.500 x1

Values from the calculation:
Raw formation energy: 1.63 eV/atom
Calculated density: 5.2 g/cm³
VASP energy: -18.0 eV for the cell shown